1.
# AlAg2Te5

AlAg2Te5 after structural relaxation (PBE-GGA, Alexandria via LeMat-Bulk).

abc: 6.072 6.500 6.586
angles: 83.50 63.45 76.68
Sites, in units of the cell vectors:
Al (0.000, 0.000, 0.000)
Ag (0.477, 0.526, 0.487)
Ag (0.981, 0.497, 0.491)
Te (0.173, 0.573, 0.952)
Te (0.174, 0.067, 0.513)
Te (0.458, 0.995, 0.999)
Te (0.738, 0.917, 0.479)
Te (0.743, 0.412, 0.032)

Values from the calculation:
total DFT energy (no corrections)	-25.3	eV per cell
space group	No. 1
energy relative to the elements, uncorrected	-0.0227	eV per atom
magnetic moment	0.00	μB/f.u.

***

2.
# AlAgTe2

AlAgTe2 after structural relaxation (PBE-GGA, Alexandria via LeMat-Bulk).

abc: 4.362 4.318 6.661
angles: 90.00 90.99 90.00
Sites, in units of the cell vectors:
Al (0.000, 0.000, 0.000)
Ag (0.584, 0.500, 0.010)
Te (0.056, 0.500, 0.740)
Te (0.471, 0.000, 0.266)

Values from the calculation:
total DFT energy (no corrections)	-13.9	eV per cell
space group	No. 6
energy relative to the elements, uncorrected	-0.2482	eV per atom
magnetic moment	0.00	μB/f.u.

***

3.
# AlAg3Te

AlAg3Te after structural relaxation (PBE-GGA, Alexandria via LeMat-Bulk).

abc: 4.951 4.951 4.951
angles: 90.00 90.00 90.00
Sites, in units of the cell vectors:
Al (0.000, 0.000, 0.000)
Ag (0.000, 0.000, 0.500)
Ag (0.000, 0.500, 0.000)
Ag (0.500, 0.000, 0.000)
Te (0.500, 0.500, 0.500)

Values from the calculation:
total DFT energy (no corrections)	-13.0	eV per cell
space group	No. 221
energy above the lowest structure with this stoichiometry	0.000	eV/atom
energy relative to the elements, uncorrected	0.4802	eV per atom
magnetic moment	0.00	μB/f.u.

***

4.
# AlAgTe2

AlAgTe2 after structural relaxation (PBE-GGA, Alexandria via LeMat-Bulk).

abc: 7.613 7.613 7.613
angles: 130.18 130.18 73.13
Sites, in units of the cell vectors:
Al (0.000, 0.000, 0.000)
Al (0.750, 0.250, 0.500)
Ag (0.250, 0.750, 0.500)
Ag (0.500, 0.500, 0.000)
Te (0.104, 0.625, 0.979)
Te (0.375, 0.354, 0.479)
Te (0.646, 0.125, 0.021)
Te (0.875, 0.896, 0.521)

Values from the calculation:
total DFT energy (no corrections)	-28.6	eV per cell
space group	No. 122
energy relative to the elements, uncorrected	-0.3560	eV per atom
magnetic moment	0.00	μB/f.u.

***

5.
# AlAgTe2

AlAgTe2 after structural relaxation (PBE-GGA, Alexandria via LeMat-Bulk).

abc: 3.152 3.152 10.296
angles: 90.00 90.00 90.00
Sites, in units of the cell vectors:
Al (0.000, 0.000, 0.000)
Ag (0.500, 0.500, 0.834)
Te (0.000, 0.000, 0.599)
Te (0.500, 0.500, 0.231)

Values from the calculation:
total DFT energy (no corrections)	-12.3	eV per cell
space group	No. 99
energy relative to the elements, uncorrected	0.1540	eV per atom
magnetic moment	0.00	μB/f.u.

***

6.
# AlAgTe2

AlAgTe2 after structural relaxation (PBE-GGA, Alexandria via LeMat-Bulk).

abc: 8.634 8.634 8.634
angles: 27.69 27.69 27.69
Sites, in units of the cell vectors:
Al (0.000, 0.000, 0.000)
Ag (0.500, 0.500, 0.500)
Te (0.393, 0.393, 0.393)
Te (0.607, 0.607, 0.607)

Values from the calculation:
total DFT energy (no corrections)	-13.7	eV per cell
space group	No. 166
energy relative to the elements, uncorrected	-0.2051	eV per atom
magnetic moment	0.00	μB/f.u.

***

7.
# AlAgTe2

AlAgTe2 after structural relaxation (PBE-GGA, Alexandria via LeMat-Bulk).

abc: 10.466 10.466 10.466
angles: 18.94 18.94 18.94
Sites, in units of the cell vectors:
Al (0.000, 0.000, 0.000)
Ag (0.274, 0.274, 0.274)
Te (0.532, 0.532, 0.532)
Te (0.732, 0.732, 0.732)

Values from the calculation:
total DFT energy (no corrections)	-12.7	eV per cell
space group	No. 160
energy relative to the elements, uncorrected	0.0454	eV per atom
magnetic moment	0.00	μB/f.u.

***

8.
# AlAgTe2

AlAgTe2 after structural relaxation (PBE-GGA, Alexandria via LeMat-Bulk).

abc: 7.400 7.400 4.021
angles: 90.06 90.06 29.01
Sites, in units of the cell vectors:
Al (0.000, 0.000, 0.000)
Ag (0.229, 0.229, 0.503)
Te (0.424, 0.424, 0.500)
Te (0.655, 0.655, 0.003)

Values from the calculation:
total DFT energy (no corrections)	-13.2	eV per cell
space group	No. 8
energy relative to the elements, uncorrected	-0.0771	eV per atom
magnetic moment	0.00	μB/f.u.

***

9.
# AlAgTe2

AlAgTe2 after structural relaxation (PBE-GGA, Alexandria via LeMat-Bulk).

abc: 3.967 3.967 7.047
angles: 90.00 90.00 90.00
Sites, in units of the cell vectors:
Al (0.000, 0.000, 0.000)
Ag (0.500, 0.500, 0.691)
Te (0.000, 0.000, 0.619)
Te (0.500, 0.500, 0.121)

Values from the calculation:
total DFT energy (no corrections)	-13.4	eV per cell
space group	No. 99
energy relative to the elements, uncorrected	-0.1329	eV per atom
magnetic moment	0.00	μB/f.u.

***

10.
# AlAgTe2

AlAgTe2 after structural relaxation (PBE-GGA, Alexandria via LeMat-Bulk).

abc: 4.478 8.973 6.336
angles: 90.00 90.00 90.00
Sites, in units of the cell vectors:
Al (0.000, 0.129, 0.000)
Al (0.500, 0.871, 0.500)
Ag (0.000, 0.636, 0.956)
Ag (0.500, 0.364, 0.456)
Te (0.000, 0.374, 0.201)
Te (0.000, 0.882, 0.244)
Te (0.500, 0.118, 0.744)
Te (0.500, 0.626, 0.701)

Values from the calculation:
total DFT energy (no corrections)	-28.0	eV per cell
space group	No. 31
energy relative to the elements, uncorrected	-0.2833	eV per atom
magnetic moment	0.00	μB/f.u.

***

11.
# AlAgTe3

AlAgTe3 after structural relaxation (PBE-GGA, Alexandria via LeMat-Bulk).

abc: 5.467 5.467 5.467
angles: 90.00 90.00 90.00
Sites, in units of the cell vectors:
Al (0.000, 0.000, 0.000)
Ag (0.500, 0.500, 0.500)
Te (0.000, 0.500, 0.500)
Te (0.500, 0.000, 0.500)
Te (0.500, 0.500, 0.000)

Values from the calculation:
total DFT energy (no corrections)	-13.2	eV per cell
space group	No. 221
energy above the lowest structure with this stoichiometry	0.713	eV/atom
energy relative to the elements, uncorrected	0.5574	eV per atom
magnetic moment	0.00	μB/f.u.

***

12.
# AlAgTe2

AlAgTe2 after structural relaxation (PBE-GGA, Alexandria via LeMat-Bulk).

abc: 3.920 4.007 7.821
angles: 90.00 90.00 90.00
Sites, in units of the cell vectors:
Al (0.000, 0.000, 0.000)
Ag (0.000, 0.500, 0.500)
Te (0.500, 0.000, 0.500)
Te (0.500, 0.500, 0.000)

Values from the calculation:
total DFT energy (no corrections)	-12.4	eV per cell
space group	No. 47
energy relative to the elements, uncorrected	0.1166	eV per atom
magnetic moment	0.00	μB/f.u.

***

13.
# AlAg3Te4

AlAg3Te4 after structural relaxation (PBE-GGA, Alexandria via LeMat-Bulk).

abc: 7.790 7.790 7.790
angles: 132.34 132.34 69.69
Sites, in units of the cell vectors:
Al (0.000, 0.000, 0.000)
Ag (0.250, 0.750, 0.500)
Ag (0.500, 0.500, 0.000)
Ag (0.750, 0.250, 0.500)
Te (0.121, 0.121, 0.483)
Te (0.362, 0.879, 0.000)
Te (0.638, 0.638, 0.517)
Te (0.879, 0.362, 0.000)

Values from the calculation:
total DFT energy (no corrections)	-26.1	eV per cell
space group	No. 121
energy relative to the elements, uncorrected	-0.1486	eV per atom
magnetic moment	0.00	μB/f.u.

***

14.
# AlAgTe2

AlAgTe2 after structural relaxation (PBE-GGA, Alexandria via LeMat-Bulk).

abc: 6.248 6.248 6.248
angles: 143.90 100.50 90.56
Sites, in units of the cell vectors:
Al (0.000, 0.000, 0.000)
Ag (0.500, 0.000, 0.500)
Te (0.237, 0.500, 0.737)
Te (0.763, 0.500, 0.263)

Values from the calculation:
total DFT energy (no corrections)	-12.6	eV per cell
space group	No. 71
energy relative to the elements, uncorrected	0.0731	eV per atom
magnetic moment	0.00	μB/f.u.

***

15.
# AlAgTe2

AlAgTe2 after structural relaxation (PBE-GGA, Alexandria via LeMat-Bulk).

abc: 3.089 4.001 7.997
angles: 90.00 90.00 90.00
Sites, in units of the cell vectors:
Al (0.000, 0.000, 0.000)
Ag (0.000, 0.000, 0.500)
Te (0.500, 0.500, 0.248)
Te (0.500, 0.500, 0.752)

Values from the calculation:
total DFT energy (no corrections)	-12.3	eV per cell
space group	No. 47
energy relative to the elements, uncorrected	0.1553	eV per atom
magnetic moment	0.00	μB/f.u.

***

16.
# AlTlAgTe3

AlTlAgTe3 after structural relaxation (PBE-GGA, Alexandria via LeMat-Bulk).

abc: 8.708 4.179 10.908
angles: 90.00 103.79 90.00
Sites, in units of the cell vectors:
Al (0.098, 0.250, 0.123)
Al (0.902, 0.750, 0.877)
Tl (0.207, 0.250, 0.700)
Tl (0.793, 0.750, 0.300)
Ag (0.360, 0.750, 0.417)
Ag (0.640, 0.250, 0.583)
Te (0.112, 0.250, 0.363)
Te (0.210, 0.750, 0.014)
Te (0.482, 0.750, 0.690)
Te (0.518, 0.250, 0.310)
Te (0.790, 0.250, 0.986)
Te (0.888, 0.750, 0.637)

Values from the calculation:
total DFT energy (no corrections)	-39.5	eV per cell
space group	No. 11
energy relative to the elements, uncorrected	-0.2252	eV per atom
magnetic moment	0.00	μB/f.u.

***

17.
# AlTlAg2Te4

AlTlAg2Te4 after structural relaxation (PBE-GGA, Alexandria via LeMat-Bulk).

abc: 6.944 6.944 6.944
angles: 114.60 114.60 99.63
Sites, in units of the cell vectors:
Al (0.000, 0.000, 0.000)
Tl (0.500, 0.500, 0.000)
Ag (0.250, 0.750, 0.500)
Ag (0.750, 0.250, 0.500)
Te (0.051, 0.633, 0.000)
Te (0.367, 0.367, 0.418)
Te (0.633, 0.051, 0.000)
Te (0.949, 0.949, 0.582)

Values from the calculation:
total DFT energy (no corrections)	-25.7	eV per cell
space group	No. 121
energy relative to the elements, uncorrected	-0.1600	eV per atom
magnetic moment	0.00	μB/f.u.

***

18.
# Y3AlAg3Te8

Y3AlAg3Te8 after structural relaxation (PBE-GGA, Alexandria via LeMat-Bulk).

abc: 8.582 8.582 8.582
angles: 60.93 60.93 60.93
Sites, in units of the cell vectors:
Y (0.000, 0.500, 0.500)
Y (0.500, 0.000, 0.500)
Y (0.500, 0.500, 0.000)
Al (0.000, 0.000, 0.000)
Ag (0.000, 0.000, 0.500)
Ag (0.000, 0.500, 0.000)
Ag (0.500, 0.000, 0.000)
Te (0.227, 0.766, 0.766)
Te (0.234, 0.234, 0.773)
Te (0.234, 0.773, 0.234)
Te (0.249, 0.249, 0.249)
Te (0.751, 0.751, 0.751)
Te (0.766, 0.227, 0.766)
Te (0.766, 0.766, 0.227)
Te (0.773, 0.234, 0.234)

Values from the calculation:
total DFT energy (no corrections)	-67.5	eV per cell
space group	No. 166
energy relative to the elements, uncorrected	-0.7096	eV per atom
magnetic moment	0.00	μB/f.u.

***

19.
# YAlAg2Te

YAlAg2Te after structural relaxation (PBE-GGA, Alexandria via LeMat-Bulk).

abc: 4.789 4.789 5.675
angles: 90.00 90.00 90.00
Sites, in units of the cell vectors:
Y (0.000, 0.000, 0.000)
Al (0.500, 0.500, 0.500)
Ag (0.000, 0.500, 0.500)
Ag (0.500, 0.000, 0.500)
Te (0.500, 0.500, 0.000)

Values from the calculation:
total DFT energy (no corrections)	-18.9	eV per cell
space group	No. 123
energy relative to the elements, uncorrected	0.0291	eV per atom
magnetic moment	0.00	μB/f.u.

***

20.
# AlZn2AgTe4

AlZn2AgTe4 after structural relaxation (PBE-GGA, Alexandria via LeMat-Bulk).

abc: 7.597 7.597 7.597
angles: 131.10 131.10 71.65
Sites, in units of the cell vectors:
Al (0.000, 0.000, 0.000)
Zn (0.250, 0.750, 0.500)
Zn (0.750, 0.250, 0.500)
Ag (0.500, 0.500, 0.000)
Te (0.113, 0.632, 0.000)
Te (0.368, 0.368, 0.481)
Te (0.632, 0.113, 0.000)
Te (0.887, 0.887, 0.519)

Values from the calculation:
total DFT energy (no corrections)	-25.0	eV per cell
space group	No. 121
energy relative to the elements, uncorrected	-0.4075	eV per atom
magnetic moment	0.00	μB/f.u.